(1)
Compound: Ba2AlZn3Ge4
Source: Alexandria via LeMat-Bulk
Functional: PBE
Structure: relaxed

Lattice parameters (Å, degrees): 4.562 4.562 10.785 90.00 90.00 90.00
Sites, in units of the cell vectors:
Ge (0.000, 0.500, 0.370)
Ge (0.500, 0.500, 0.000)
Ge (0.500, 0.000, 0.630)
Ge (0.000, 0.000, 0.000)
Ba (0.500, 0.000, 0.247)
Ba (0.000, 0.500, 0.753)
Al (0.500, 0.500, 0.500)
Zn (0.000, 0.500, 0.126)
Zn (0.500, 0.000, 0.874)
Zn (0.000, 0.000, 0.500)

Computed properties:
As for the calculated total energy: -3.364 eV per atom. The value obtained for the energy of formation is -0.376 eV/atom.

---

(2)
Compound: BaAlZnGe2
Source: Alexandria via LeMat-Bulk
Functional: PBE
Structure: relaxed

Lattice parameters (Å, degrees): 4.411 4.411 6.680 109.28 109.28 90.00
Sites, in units of the cell vectors:
Ge (0.374, 0.374, 0.747)
Ge (0.626, 0.626, 0.253)
Al (0.750, 0.250, 0.500)
Zn (0.250, 0.750, 0.500)
Ba (0.000, 0.000, 0.000)

Computed properties:
As for the calculated total energy: -3.588 eV per atom. The value obtained for the energy of formation is -0.354 eV/atom.

---

(3)
Compound: BaAl2H6
Source: Alexandria via LeMat-Bulk
Functional: PBE
Structure: relaxed

Lattice parameters (Å, degrees): 5.394 5.394 5.394 60.00 60.00 60.00
Sites, in units of the cell vectors:
H (0.625, 0.375, 0.625)
H (0.625, 0.625, 0.375)
H (0.375, 0.375, 0.625)
H (0.625, 0.375, 0.375)
H (0.375, 0.625, 0.625)
H (0.375, 0.625, 0.375)
Al (0.250, 0.250, 0.250)
Al (0.750, 0.750, 0.750)
Ba (0.000, 0.000, 0.000)

Computed properties:
As for the calculated total energy: -2.446 eV per atom.

---

(4)
Compound: Ba4Al5H
Source: Alexandria via LeMat-Bulk
Functional: PBE
Structure: relaxed

Lattice parameters (Å, degrees): 5.479 8.127 8.127 72.10 70.30 70.30
Sites, in units of the cell vectors:
Ba (0.250, 0.730, 0.270)
Ba (0.920, 0.830, 0.830)
Ba (0.580, 0.170, 0.170)
Ba (0.250, 0.270, 0.730)
H (0.250, 0.000, 0.000)
Al (0.556, 0.834, 0.554)
Al (0.556, 0.554, 0.834)
Al (0.944, 0.446, 0.166)
Al (0.750, 0.500, 0.500)
Al (0.944, 0.166, 0.446)

Computed properties:
As for the calculated total energy: -3.074 eV per atom.

---

(5)
Compound: BaAlH2
Source: Alexandria via LeMat-Bulk
Functional: PBE
Structure: relaxed

Lattice parameters (Å, degrees): 4.629 4.629 4.629 60.00 60.00 60.00
Sites, in units of the cell vectors:
Al (0.000, 0.000, 0.000)
H (0.750, 0.750, 0.750)
H (0.250, 0.250, 0.250)
Ba (0.500, 0.500, 0.500)

Computed properties:
The value obtained for the polymorph energy (0 for the lowest one) is 95 meV/atom. As for the calculated total energy: -2.945 eV per atom.

---

(6)
Compound: Ba12Al3H5
Source: Alexandria via LeMat-Bulk
Functional: PBE
Structure: relaxed

Lattice parameters (Å, degrees): 15.784 15.784 15.784 109.47 109.47 109.47
Sites, in units of the cell vectors:
Ba (0.812, 0.903, 0.025)
Ba (0.903, 0.812, 0.525)
Ba (0.379, 0.975, 0.788)
Ba (0.097, 0.188, 0.475)
Ba (0.475, 0.688, 0.097)
Ba (0.688, 0.212, 0.591)
Ba (0.188, 0.091, 0.712)
Ba (0.212, 0.525, 0.621)
Ba (0.975, 0.379, 0.288)
Ba (0.909, 0.097, 0.621)
Ba (0.379, 0.403, 0.091)
Ba (0.121, 0.409, 0.097)
Ba (0.409, 0.121, 0.597)
Ba (0.712, 0.121, 0.025)
Ba (0.812, 0.909, 0.288)
Ba (0.597, 0.975, 0.688)
Ba (0.091, 0.903, 0.379)
Ba (0.212, 0.688, 0.091)
Ba (0.788, 0.475, 0.379)
Ba (0.525, 0.212, 0.121)
Ba (0.591, 0.879, 0.403)
Ba (0.597, 0.621, 0.409)
Ba (0.879, 0.591, 0.903)
Ba (0.975, 0.597, 0.188)
Ba (0.097, 0.909, 0.121)
Ba (0.288, 0.409, 0.812)
Ba (0.288, 0.879, 0.975)
Ba (0.879, 0.288, 0.475)
Ba (0.712, 0.591, 0.188)
Ba (0.312, 0.788, 0.409)
Ba (0.621, 0.597, 0.909)
Ba (0.475, 0.788, 0.879)
Ba (0.403, 0.025, 0.312)
Ba (0.788, 0.312, 0.909)
Ba (0.091, 0.188, 0.212)
Ba (0.025, 0.621, 0.712)
Ba (0.688, 0.475, 0.597)
Ba (0.403, 0.379, 0.591)
Ba (0.188, 0.097, 0.975)
Ba (0.621, 0.025, 0.212)
Ba (0.121, 0.712, 0.525)
Ba (0.409, 0.288, 0.312)
Ba (0.903, 0.091, 0.879)
Ba (0.312, 0.525, 0.403)
Ba (0.591, 0.712, 0.688)
Ba (0.909, 0.812, 0.788)
Ba (0.525, 0.312, 0.903)
Ba (0.025, 0.403, 0.812)
H (0.625, 0.875, 0.250)
H (0.000, 0.500, 0.000)
H (0.625, 0.750, 0.875)
H (0.500, 0.000, 0.500)
H (0.375, 0.250, 0.125)
H (0.000, 0.000, 0.000)
H (0.875, 0.250, 0.625)
H (0.000, 0.000, 0.500)
H (0.500, 0.500, 0.500)
H (0.500, 0.500, 0.000)
H (0.875, 0.625, 0.750)
H (0.000, 0.500, 0.500)
H (0.500, 0.000, 0.000)
H (0.125, 0.750, 0.375)
H (0.125, 0.375, 0.250)
H (0.750, 0.125, 0.875)
H (0.750, 0.625, 0.375)
H (0.375, 0.125, 0.750)
H (0.250, 0.375, 0.625)
H (0.250, 0.875, 0.125)
Al (0.375, 0.750, 0.625)
Al (0.625, 0.250, 0.375)
Al (0.125, 0.875, 0.750)
Al (0.375, 0.625, 0.250)
Al (0.750, 0.875, 0.625)
Al (0.875, 0.125, 0.250)
Al (0.125, 0.250, 0.875)
Al (0.250, 0.625, 0.875)
Al (0.875, 0.750, 0.125)
Al (0.625, 0.375, 0.750)
Al (0.750, 0.375, 0.125)
Al (0.250, 0.125, 0.375)

Computed properties:
As for the calculated total energy: -2.731 eV per atom.

---

(7)
Compound: BaAlH4
Source: Alexandria via LeMat-Bulk
Functional: PBE
Structure: relaxed

Lattice parameters (Å, degrees): 4.699 4.699 9.142 77.21 77.21 61.48
Sites, in units of the cell vectors:
Al (0.229, 0.771, 0.750)
Al (0.771, 0.229, 0.250)
H (0.211, 0.658, 0.944)
H (0.658, 0.211, 0.444)
H (0.207, 0.133, 0.757)
H (0.789, 0.342, 0.056)
H (0.867, 0.793, 0.743)
H (0.342, 0.789, 0.556)
H (0.133, 0.207, 0.257)
H (0.793, 0.867, 0.243)
Ba (0.000, 0.500, 0.500)
Ba (0.500, 0.000, 0.000)

Computed properties:
As for the calculated total energy: -3.411 eV per atom.

---

(8)
Compound: BaAlH
Source: Alexandria via LeMat-Bulk
Functional: PBE
Structure: relaxed

Lattice parameters (Å, degrees): 3.501 4.444 8.868 90.00 90.00 89.99
Sites, in units of the cell vectors:
Ba (0.312, 0.716, 0.081)
Ba (0.312, 0.216, 0.712)
H (0.812, 0.216, 0.985)
H (0.812, 0.716, 0.808)
Al (0.812, 0.716, 0.461)
Al (0.812, 0.216, 0.332)

Computed properties:
The value obtained for the polymorph energy (0 for the lowest one) is 0 meV/atom. As for the calculated total energy: -3.127 eV per atom.

---

(9)
Compound: BaAlH2
Source: Alexandria via LeMat-Bulk
Functional: PBE
Structure: relaxed

Lattice parameters (Å, degrees): 4.960 4.960 6.783 68.55 68.55 90.00
Sites, in units of the cell vectors:
Ba (0.750, 0.250, 0.500)
Ba (0.000, 0.000, 0.000)
Al (0.500, 0.500, 0.000)
Al (0.250, 0.750, 0.500)
H (0.265, 0.625, 0.250)
H (0.485, 0.125, 0.250)
H (0.875, 0.735, 0.750)
H (0.375, 0.515, 0.750)

Computed properties:
The value obtained for the polymorph energy (0 for the lowest one) is 0 meV/atom. As for the calculated total energy: -3.039 eV per atom.

---

(10)
Compound: BaAlH6
Source: Alexandria via LeMat-Bulk
Functional: PBE
Structure: relaxed

Lattice parameters (Å, degrees): 4.874 8.643 5.080 31.72 61.43 55.79
Sites, in units of the cell vectors:
H (0.334, 0.435, 0.461)
H (0.901, 0.500, 0.000)
H (0.666, 0.565, 0.539)
H (0.666, 0.104, 0.461)
H (0.099, 0.500, 0.000)
H (0.334, 0.896, 0.539)
Ba (0.000, 0.000, 0.000)
Al (0.500, 0.500, 0.000)

Computed properties:
As for the calculated total energy: -3.343 eV per atom.

---

(11)
Compound: BaAlH
Source: Alexandria via LeMat-Bulk
Functional: PBE
Structure: relaxed

Lattice parameters (Å, degrees): 7.046 6.979 12.873 90.00 90.00 90.00
Sites, in units of the cell vectors:
Ba (0.745, 0.665, 0.149)
Ba (0.255, 0.335, 0.851)
Ba (0.245, 0.665, 0.351)
Ba (0.755, 0.335, 0.649)
Ba (0.245, 0.835, 0.649)
Ba (0.755, 0.165, 0.351)
Ba (0.745, 0.835, 0.851)
Ba (0.255, 0.165, 0.149)
H (0.589, 0.972, 0.671)
H (0.911, 0.472, 0.829)
H (0.411, 0.028, 0.329)
H (0.911, 0.028, 0.171)
H (0.089, 0.972, 0.829)
H (0.089, 0.528, 0.171)
H (0.589, 0.528, 0.329)
H (0.411, 0.472, 0.671)
Al (0.255, 0.147, 0.419)
Al (0.255, 0.353, 0.581)
Al (0.755, 0.147, 0.081)
Al (0.755, 0.353, 0.919)
Al (0.245, 0.647, 0.081)
Al (0.745, 0.853, 0.581)
Al (0.245, 0.853, 0.919)
Al (0.745, 0.647, 0.419)

Computed properties:
The value obtained for the polymorph energy (0 for the lowest one) is 48 meV/atom. As for the calculated total energy: -3.080 eV per atom.

---

(12)
Compound: BaAlH4I
Source: Alexandria via LeMat-Bulk
Functional: PBE
Structure: relaxed

Lattice parameters (Å, degrees): 7.236 7.236 6.597 89.07 89.07 54.16
Sites, in units of the cell vectors:
Al (0.585, 0.585, 0.779)
Al (0.415, 0.415, 0.221)
H (0.445, 0.835, 0.892)
H (0.835, 0.445, 0.892)
H (0.165, 0.555, 0.108)
H (0.388, 0.388, 0.461)
H (0.612, 0.612, 0.539)
H (0.539, 0.539, 0.178)
H (0.461, 0.461, 0.822)
H (0.555, 0.165, 0.108)
I (0.867, 0.867, 0.689)
I (0.133, 0.133, 0.311)
Ba (0.733, 0.733, 0.224)
Ba (0.267, 0.267, 0.776)

Computed properties:
As for the calculated total energy: -3.496 eV per atom.

---

Question: What is the formula in the fourth record?
Answer: Ba4Al5H